First-principles (PBE) data for a relaxed structure of NaBeNbF2, as listed in the Alexandria database.

The space group is P4/mmm (No. 123) and the conventional cell measures 4.224, 4.224 and 4.941 Å, with angles of 90.00, 90.00 and 90.00 degrees. The distinct sites, in fractional coordinates, are Na at (0.000, 0.000, 0.000), Be at (0.500, 0.500, 0.000), Nb at (0.500, 0.500, 0.500) and F at (0.000, 0.500, 0.500).

The value obtained for the total energy is -23.2 eV per cell.

First-principles (PBE) data for a relaxed structure of Li3AsAu, as listed in the Alexandria database.

The space group is Pm-3m (No. 221) and the conventional cell measures 4.732, 4.732 and 4.732 Å, with angles of 90.00, 90.00 and 90.00 degrees. The distinct sites, in fractional coordinates, are Li at (0.000, 0.000, 0.500), As at (0.000, 0.000, 0.000) and Au at (0.500, 0.500, 0.500).

Its energy of formation from the pure elements is -227 meV per atom. The value obtained for the energy above the most stable polymorph in this dataset is 318 meV per atom.

First-principles (PBE) data for a relaxed structure of RuRh2Au, as listed in the Alexandria database.

The space group is P4mm (No. 99) and the conventional cell measures 2.761, 2.761 and 7.899 Å, with angles of 90.00, 90.00 and 90.00 degrees. The distinct sites, in fractional coordinates, are Ru at (0.000, 0.000, 0.000), Rh at (0.000, 0.000, 0.531), Rh at (0.500, 0.500, 0.773) and Au at (0.500, 0.500, 0.266).

Its energy of formation from the pure elements is 182 meV per atom. The value obtained for the energy above the most stable polymorph in this dataset is 106 meV per atom.

First-principles (PBE) data for a relaxed structure of YSc2Cd2, as listed in the Alexandria database.

The space group is P2_1/m (No. 11) and the conventional cell measures 3.577, 5.151 and 13.339 Å, with angles of 90.00, 97.71 and 90.00 degrees. The distinct sites, in fractional coordinates, are Y at (0.150, 0.250, 0.299), Sc at (0.047, 0.750, 0.094), Sc at (0.237, 0.750, 0.475), Cd at (0.357, 0.250, 0.716) and Cd at (0.454, 0.750, 0.907).

Its energy of formation from the pure elements is -238 meV per atom. The value obtained for the energy above the most stable polymorph in this dataset is 0 meV per atom.